{
  "formula": "Li5Tl4Rh2",
  "functional": "GGA-PBE",
  "state": "optimized geometry",
  "ef_ev_per_atom": -0.11,
  "sg": "C2/m",
  "lattice": [[3.087, 0.000, -0.524], [-0.542, 7.327, -3.196], [0.139, 0.084, 10.178]],
  "species": ["Li", "Li", "Li", "Li", "Li", "Tl", "Tl", "Tl", "Tl", "Rh", "Rh"],
  "frac_coords": [[0.850, 0.098, 0.700], [0.150, 0.902, 0.300], [0.850, 0.602, 0.700], [0.500, 0.000, 0.000], [0.150, 0.398, 0.300], [0.262, 0.262, 0.525], [0.000, 0.287, 0.000], [0.738, 0.738, 0.475], [0.000, 0.713, 0.000], [0.410, 0.410, 0.820], [0.590, 0.590, 0.180]]
}